Record 1
SrAlBr2, single point on PBEsol structure, DFT meta-GGA SCAN; crystal system = tetragonal; calculated volume = 32.856 Å³/atom; polymorph energy (0 for the lowest one) = 158 meV per atom; total magnetization = 0.000 μB per atom; total DFT energy (no corrections) = -18.1040 eV per atom; formation energy (no corrections) = -0.87 eV per atom
1.0
5.241 0.000 0.000
0.000 5.241 0.000
-2.621 -2.621 9.568
Al Br Sr
2 4 2
Direct
0.500 0.500 0.000 Al
0.750 0.250 0.500 Al
0.378 0.875 0.250 Br
0.625 0.622 0.750 Br
0.872 0.375 0.250 Br
0.125 0.128 0.750 Br
0.250 0.750 0.500 Sr
0.000 0.000 0.000 Sr



Record 2
SrAl2Br, single point on PBEsol structure, DFT meta-GGA SCAN; crystal system = tetragonal; calculated volume = 27.871 Å³/atom; polymorph energy (0 for the lowest one) = 13 meV per atom; total magnetization = 0.083 μB per atom; total DFT energy (no corrections) = -14.6906 eV per atom; formation energy (no corrections) = -0.38 eV per atom
1.0
-0.052 1.341 3.890
1.494 -3.618 1.268
11.548 5.708 -3.992
Sr Br Al
2 2 4
Direct
0.250 0.750 0.500 Sr
0.000 0.000 0.000 Sr
0.750 0.250 0.500 Br
0.500 0.500 0.000 Br
0.891 0.375 0.250 Al
0.625 0.641 0.750 Al
0.125 0.109 0.750 Al
0.359 0.875 0.250 Al



Record 3
SrAlBr2, single point on PBEsol structure, DFT meta-GGA SCAN; crystal system = orthorhombic; calculated volume = 28.993 Å³/atom; polymorph energy (0 for the lowest one) = 18 meV per atom; total magnetization = 0.249 μB per atom; total DFT energy (no corrections) = -18.2436 eV per atom; formation energy (no corrections) = -1.01 eV per atom
1.0
3.961 0.000 0.000
0.000 4.645 0.000
-1.980 -2.323 6.303
Br Sr Al
2 1 1
Direct
0.019 0.019 0.038 Br
0.781 0.281 0.561 Br
0.468 0.468 0.936 Sr
0.232 0.732 0.465 Al



Record 4
SrAlBr2, single point on PBEsol structure, DFT meta-GGA SCAN; crystal system = monoclinic; calculated volume = 30.925 Å³/atom; polymorph energy (0 for the lowest one) = 0 meV per atom; total magnetization = 0.000 μB per atom; total DFT energy (no corrections) = -18.2620 eV per atom; formation energy (no corrections) = -1.03 eV per atom
1.0
3.644 0.000 0.073
0.000 3.681 0.000
-0.247 0.000 9.216
Al Br Sr
1 2 1
Direct
0.000 0.500 0.500 Al
0.997 0.000 0.811 Br
0.003 0.000 0.189 Br
0.500 0.500 0.000 Sr



Record 5
SrAl2Br, single point on PBEsol structure, DFT meta-GGA SCAN; crystal system = monoclinic; calculated volume = 27.427 Å³/atom; polymorph energy (0 for the lowest one) = 0 meV per atom; total magnetization = 0.000 μB per atom; total DFT energy (no corrections) = -14.7036 eV per atom; formation energy (no corrections) = -0.39 eV per atom
1.0
3.718 0.004 0.000
-0.016 4.491 0.000
0.000 0.000 6.571
Sr Br Al
1 1 2
Direct
0.500 0.000 0.500 Sr
0.000 0.500 0.500 Br
0.242 0.236 0.000 Al
0.758 0.764 0.000 Al



Record 6
TaAl2Br, single point on PBEsol structure, DFT meta-GGA SCAN; crystal system = orthorhombic; calculated volume = 18.754 Å³/atom; polymorph energy (0 for the lowest one) = 0 meV per atom; total magnetization = 0.000 μB per atom; total DFT energy (no corrections) = -25.4664 eV per atom; formation energy (no corrections) = -0.08 eV per atom
1.0
3.025 0.000 0.000
0.000 3.049 0.000
0.000 0.000 8.133
Al Ta Br
2 1 1
Direct
0.000 0.000 0.277 Al
0.000 0.000 0.723 Al
0.500 0.500 0.500 Ta
0.500 0.000 0.000 Br



Record 7
TaAlBr2, single point on PBEsol structure, DFT meta-GGA SCAN; crystal system = trigonal; calculated volume = 20.871 Å³/atom; polymorph energy (0 for the lowest one) = 105 meV per atom; total magnetization = 0.000 μB per atom; total DFT energy (no corrections) = -28.2596 eV per atom; formation energy (no corrections) = 0.05 eV per atom
1.0
3.189 0.000 0.000
1.594 2.761 0.000
1.594 0.920 9.481
Ta Br Al
1 2 1
Direct
0.500 0.500 0.500 Ta
0.234 0.234 0.297 Br
0.766 0.766 0.703 Br
0.000 0.000 0.000 Al



Record 8
TaAlBr2, single point on PBEsol structure, DFT meta-GGA SCAN; crystal system = orthorhombic; calculated volume = 19.630 Å³/atom; polymorph energy (0 for the lowest one) = 858 meV per atom; total magnetization = 0.000 μB per atom; total DFT energy (no corrections) = -27.5060 eV per atom; formation energy (no corrections) = 0.81 eV per atom
1.0
3.119 0.000 0.000
0.000 5.131 0.062
0.000 -1.562 4.888
Br Al Ta
2 1 1
Direct
0.000 0.500 0.000 Br
0.000 0.000 0.500 Br
0.500 0.500 0.500 Al
0.500 0.000 0.000 Ta



Record 9
TaAl2Br, single point on PBEsol structure, DFT meta-GGA SCAN; crystal system = tetragonal; calculated volume = 18.309 Å³/atom; polymorph energy (0 for the lowest one) = 357 meV per atom; total magnetization = 0.001 μB per atom; total DFT energy (no corrections) = -25.1091 eV per atom; formation energy (no corrections) = 0.28 eV per atom
1.0
2.959 0.000 0.000
0.000 4.975 0.000
0.000 0.000 4.975
Al Br Ta
2 1 1
Direct
0.000 0.000 0.500 Al
0.000 0.500 0.000 Al
0.500 0.500 0.500 Br
0.500 0.000 0.000 Ta



Record 10
TaAlBr2, single point on PBEsol structure, DFT meta-GGA SCAN; crystal system = tetragonal; calculated volume = 18.962 Å³/atom; polymorph energy (0 for the lowest one) = 879 meV per atom; total magnetization = 0.000 μB per atom; total DFT energy (no corrections) = -27.4847 eV per atom; formation energy (no corrections) = 0.83 eV per atom
1.0
3.086 0.000 0.000
0.000 4.958 0.000
0.000 0.000 4.958
Br Ta Al
2 1 1
Direct
0.000 0.000 0.500 Br
0.000 0.500 0.000 Br
0.500 0.500 0.500 Ta
0.500 0.000 0.000 Al



Record 11
TaAl2Br, single point on PBEsol structure, DFT meta-GGA SCAN; crystal system = tetragonal; calculated volume = 17.463 Å³/atom; polymorph energy (0 for the lowest one) = 627 meV per atom; total magnetization = 0.000 μB per atom; total DFT energy (no corrections) = -24.8393 eV per atom; formation energy (no corrections) = 0.55 eV per atom
1.0
-1.269 2.306 -2.987
1.697 -2.466 -2.625
-3.945 -2.256 2.588
Al Br Ta
2 1 1
Direct
0.250 0.750 0.500 Al
0.750 0.250 0.500 Al
0.500 0.500 0.000 Br
0.000 0.000 0.000 Ta



Record 12
TaAl2Br, single point on PBEsol structure, DFT meta-GGA SCAN; crystal system = tetragonal; calculated volume = 19.126 Å³/atom; polymorph energy (0 for the lowest one) = 857 meV per atom; total magnetization = 0.000 μB per atom; total DFT energy (no corrections) = -24.6090 eV per atom; formation energy (no corrections) = 0.78 eV per atom
1.0
-4.018 -1.248 -3.557
-3.694 -4.425 1.459
-5.197 2.825 0.612
Ta Br Al
2 2 4
Direct
0.750 0.500 0.500 Ta
0.000 0.000 0.000 Ta
0.500 0.000 0.000 Br
0.250 0.500 0.500 Br
0.875 0.495 0.005 Al
0.120 0.005 0.505 Al
0.630 0.995 0.495 Al
0.375 0.505 0.995 Al